VASP calculation (GGA-PBE) on a relaxed RbSn4Se8 crystal.

Calculated values
As for the size of the total moment: 0.00 μB/f.u. Its energy above the most stable polymorph in this dataset is 67.1 meV per atom. The value obtained for the formation energy from raw total energies is -0.433 eV per atom.

Cell: 18.9611 3.9815 13.0404 Å, 90.00 129.99 90.00°
Space group Cm (No. 8)
Unique sites:
Rb 0.0000 0.0000 0.0000 (multiplicity 2)
Sn 0.1483 0.0000 0.4747 (multiplicity 2)
Sn 0.1603 0.5000 0.8278 (multiplicity 2)
Sn 0.3366 0.0000 0.1685 (multiplicity 2)
Sn 0.3487 0.5000 0.5224 (multiplicity 2)
Se 0.0362 0.0000 0.7628 (multiplicity 2)
Se 0.1136 0.5000 0.5777 (multiplicity 2)
Se 0.1597 0.5000 0.3335 (multiplicity 2)
Se 0.2048 0.5000 0.0757 (multiplicity 2)
Se 0.2921 0.0000 0.9205 (multiplicity 2)
Se 0.3373 0.0000 0.6635 (multiplicity 2)
Se 0.3824 0.0000 0.4181 (multiplicity 2)
Se 0.4607 0.5000 0.2339 (multiplicity 2)